(1)
VASP calculation (GGA-PBE) on crystalline MgScB at its relaxed geometry.

```
data_MgScB
_chemical_formula_sum 'Mg2 Sc2 B2'
_cell_length_a 4.2835
_cell_length_b 4.2835
_cell_length_c 5.5366
_cell_angle_alpha 90.00
_cell_angle_beta 90.00
_cell_angle_gamma 120.00
_symmetry_space_group_name_H-M 'P 1'
_symmetry_Int_Tables_number 1
loop_
_symmetry_equiv_pos_as_xyz
'x,y,z'
loop_
_atom_site_label
_atom_site_fract_x
_atom_site_fract_y
_atom_site_fract_z
Sc1 0.3333 0.6667 0.7500
Sc2 0.6667 0.3333 0.2500
Mg1 0.0000 0.0000 0.0000
Mg2 0.0000 0.0000 0.5000
B1 0.3333 0.6667 0.2500
B2 0.6667 0.3333 0.7500
```

Results
DOS at the Fermi energy	0.4	states/eV/f.u.
energy of formation	-0.008	eV/atom
relative energy among the computed polymorphs	0.417	eV per atom
symmetry	P6_3/mmc (194)



(2)
VASP calculation (GGA-PBE) on crystalline Tm4TlH at its relaxed geometry.

```
data_Tm4TlH
_chemical_formula_sum 'Tm8 Tl2 H2'
_cell_length_a 5.2510
_cell_length_b 6.5065
_cell_length_c 8.7588
_cell_angle_alpha 90.00
_cell_angle_beta 107.44
_cell_angle_gamma 90.00
_symmetry_space_group_name_H-M 'P 1'
_symmetry_Int_Tables_number 1
loop_
_symmetry_equiv_pos_as_xyz
'x,y,z'
loop_
_atom_site_label
_atom_site_fract_x
_atom_site_fract_y
_atom_site_fract_z
Tm1 0.8921 0.2744 0.7841
Tm2 0.1079 0.7744 0.2159
Tm3 0.4821 0.9791 0.9642
Tm4 0.5179 0.4791 0.0358
Tm5 0.7128 0.5640 0.4256
Tm6 0.2872 0.0640 0.5744
Tm7 0.6785 0.0722 0.3570
Tm8 0.3215 0.5722 0.6430
Tl1 0.9016 0.7727 0.8032
Tl2 0.0984 0.2727 0.1968
H1 0.5956 0.7709 0.1911
H2 0.4044 0.2709 0.8089
```

Results
DOS at the Fermi energy	4.4	states/eV/f.u.
total energy	-4.07	eV per atom
symmetry	Cmc2_1 (36)



(3)
VASP calculation (GGA-PBE) on crystalline Nd2SmHf at its relaxed geometry.

```
data_Nd2SmHf
_chemical_formula_sum 'Nd2 Sm1 Hf1'
_cell_length_a 4.0664
_cell_length_b 4.0664
_cell_length_c 7.4571
_cell_angle_alpha 90.00
_cell_angle_beta 90.00
_cell_angle_gamma 90.00
_symmetry_space_group_name_H-M 'P 1'
_symmetry_Int_Tables_number 1
loop_
_symmetry_equiv_pos_as_xyz
'x,y,z'
loop_
_atom_site_label
_atom_site_fract_x
_atom_site_fract_y
_atom_site_fract_z
Nd1 0.0000 0.0000 0.7801
Nd2 0.0000 0.0000 0.2199
Hf1 0.5000 0.5000 0.0000
Sm1 0.5000 0.5000 0.5000
```

Results
DOS at the Fermi energy	6.0	states/eV/f.u.
energy of formation	0.227	eV/atom
relative energy among the computed polymorphs	0.042	eV per atom
symmetry	P4/mmm (123)



(4)
VASP calculation (GGA-PBE) on crystalline Rb2Mg2Sb at its relaxed geometry.

```
data_Rb2Mg2Sb
_chemical_formula_sum 'Rb4 Mg4 Sb2'
_cell_length_a 10.8527
_cell_length_b 10.8527
_cell_length_c 3.4692
_cell_angle_alpha 90.00
_cell_angle_beta 90.00
_cell_angle_gamma 90.00
_symmetry_space_group_name_H-M 'P 1'
_symmetry_Int_Tables_number 1
loop_
_symmetry_equiv_pos_as_xyz
'x,y,z'
loop_
_atom_site_label
_atom_site_fract_x
_atom_site_fract_y
_atom_site_fract_z
Sb1 0.0000 0.0000 0.0000
Sb2 0.5000 0.5000 0.0000
Mg1 0.0990 0.5990 0.5000
Mg2 0.5990 0.9010 0.5000
Mg3 0.9010 0.4010 0.5000
Mg4 0.4010 0.0990 0.5000
Rb1 0.3053 0.8053 0.0000
Rb2 0.8053 0.6947 0.0000
Rb3 0.6947 0.1947 0.0000
Rb4 0.1947 0.3053 0.0000
```

Results
DOS at the Fermi energy	4.6	states/eV/f.u.
ΔE_f (raw)	363	meV per atom
symmetry	P4/mbm (127)



(5)
VASP calculation (GGA-PBE) on crystalline TlCrTc2 at its relaxed geometry.

```
data_TlCrTc2
_chemical_formula_sum 'Tl1 Cr1 Tc2'
_cell_length_a 5.1932
_cell_length_b 5.1932
_cell_length_c 5.1932
_cell_angle_alpha 144.13
_cell_angle_beta 129.04
_cell_angle_gamma 63.88
_symmetry_space_group_name_H-M 'P 1'
_symmetry_Int_Tables_number 1
loop_
_symmetry_equiv_pos_as_xyz
'x,y,z'
loop_
_atom_site_label
_atom_site_fract_x
_atom_site_fract_y
_atom_site_fract_z
Cr1 0.2309 0.7309 0.5000
Tc1 0.0186 0.0186 0.0000
Tc2 0.7615 0.2615 0.5000
Tl1 0.4890 0.4890 0.0000
```

Results
DOS at the Fermi energy	4.4	states/eV/f.u.
energy of formation	0.604	eV/atom
relative energy among the computed polymorphs	0.173	eV per atom
symmetry	Imm2 (44)



(6)
VASP calculation (GGA-PBE) on crystalline UReMoW at its relaxed geometry.

```
data_UReMoW
_chemical_formula_sum 'U1 Re1 Mo1 W1'
_cell_length_a 4.6250
_cell_length_b 4.6250
_cell_length_c 4.6250
_cell_angle_alpha 60.00
_cell_angle_beta 60.00
_cell_angle_gamma 60.00
_symmetry_space_group_name_H-M 'P 1'
_symmetry_Int_Tables_number 1
loop_
_symmetry_equiv_pos_as_xyz
'x,y,z'
loop_
_atom_site_label
_atom_site_fract_x
_atom_site_fract_y
_atom_site_fract_z
Re1 0.2500 0.2500 0.2500
Mo1 0.7500 0.7500 0.7500
U1 0.5000 0.5000 0.5000
W1 0.0000 0.0000 0.0000
```

Results
DOS at the Fermi energy	7.6	states/eV/f.u.
energy of formation	0.237	eV/atom
symmetry	F-43m (216)